No. 1
PBE Ti2ReO, optimized geometry; DOS at the Fermi energy = 3.4 states/eV/cell; energy relative to the elements, uncorrected = -0.79 eV/atom; uncorrected energy = -36.349 eV per cell
1.0
2.8886 0.0000 0.0000
0.0000 2.8886 0.0000
0.0000 0.0000 6.3354
Ti Re O
2 1 1
Direct
0.0000 0.0000 0.2301
0.0000 0.0000 0.7699
0.5000 0.5000 0.5000
0.5000 0.5000 0.0000


No. 2
PBE SbAuO2, optimized geometry; DOS at the Fermi energy = 1.2 states/eV/cell; energy relative to the elements, uncorrected = -0.33 eV/atom; uncorrected energy = -74.465 eV per cell
1.0
4.6945 0.0000 0.0000
0.0000 4.6945 0.0000
0.0000 0.0000 12.3720
Sb Au O
4 4 8
Direct
0.0000 0.0000 0.0000
0.0000 0.5000 0.2500
0.5000 0.0000 0.7500
0.5000 0.5000 0.5000
0.0000 0.0000 0.5000
0.0000 0.5000 0.7500
0.5000 0.0000 0.2500
0.5000 0.5000 0.0000
0.2127 0.2500 0.1250
0.2500 0.7127 0.3750
0.2500 0.7873 0.8750
0.2873 0.2500 0.6250
0.7127 0.7500 0.6250
0.7500 0.2127 0.8750
0.7500 0.2873 0.3750
0.7873 0.7500 0.1250


No. 3
PBE MnAlCu2S4, optimized geometry; DOS at the Fermi energy = 5.9 states/eV/cell; energy relative to the elements, uncorrected = -0.62 eV/atom; uncorrected energy = -85.226 eV per cell
1.0
5.3553 0.0000 0.0000
0.0000 5.3553 0.0000
0.0000 0.0000 10.5589
Mn Al Cu S
2 2 4 8
Direct
0.0000 0.0000 0.0000
0.5000 0.5000 0.5000
0.0000 0.0000 0.5000
0.5000 0.5000 0.0000
0.0000 0.5000 0.2500
0.0000 0.5000 0.7500
0.5000 0.0000 0.2500
0.5000 0.0000 0.7500
0.2444 0.2444 0.6260
0.2444 0.7556 0.3740
0.2556 0.2556 0.1260
0.2556 0.7444 0.8740
0.7444 0.2556 0.8740
0.7444 0.7444 0.1260
0.7556 0.2444 0.3740
0.7556 0.7556 0.6260


No. 4
PBE PrMg3Rh, optimized geometry; DOS at the Fermi energy = 5.0 states/eV/cell; ΔE_f = -0.345 eV/atom; uncorrected energy = -37.277 eV per cell
1.0
5.5577 0.0000 0.0000
0.0000 5.9738 0.0000
-2.3681 0.0000 6.9823
Pr Mg Rh
2 6 2
Direct
0.0926 0.2500 0.3940
0.9074 0.7500 0.6060
0.0322 0.2500 0.8838
0.4884 0.5026 0.2045
0.4884 0.9974 0.2045
0.5116 0.0026 0.7955
0.5116 0.4974 0.7955
0.9678 0.7500 0.1162
0.3367 0.7500 0.4705
0.6633 0.2500 0.5295


No. 5
PBE HfNi9Ge2, optimized geometry; DOS at the Fermi energy = 5.5 states/eV/cell; ΔE_f = -0.361 eV/atom; uncorrected energy = -75.553 eV per cell
1.0
3.6448 0.0000 0.0000
0.0000 3.6448 0.0000
0.0000 0.0000 10.7830
Hf Ni Ge
1 9 2
Direct
0.0000 0.0000 0.0000
0.0000 0.5000 0.1765
0.0000 0.5000 0.5000
0.0000 0.5000 0.8235
0.5000 0.0000 0.1765
0.5000 0.0000 0.5000
0.5000 0.0000 0.8235
0.5000 0.5000 0.0000
0.5000 0.5000 0.3392
0.5000 0.5000 0.6608
0.0000 0.0000 0.3378
0.0000 0.0000 0.6622


No. 6
PBE Nd3TmSb4, optimized geometry; DOS at the Fermi energy = 1.2 states/eV/cell; energy relative to the elements, uncorrected = -1.15 eV/atom; uncorrected energy = -88.937 eV per cell
1.0
7.7527 0.0000 0.0000
0.0000 8.9766 0.0000
-2.5907 0.0000 7.3114
Nd Tm Sb
6 2 8
Direct
0.0000 0.1244 0.2500
0.0000 0.3741 0.7500
0.0000 0.6259 0.2500
0.0000 0.8756 0.7500
0.5000 0.3743 0.2500
0.5000 0.6257 0.7500
0.5000 0.1245 0.7500
0.5000 0.8755 0.2500
0.2539 0.3707 0.5043
0.2539 0.6293 0.0043
0.2586 0.1205 0.9998
0.2586 0.8795 0.4998
0.7414 0.1205 0.5002
0.7414 0.8795 0.0002
0.7461 0.3707 0.9957
0.7461 0.6293 0.4957


No. 7
PBE Tb4Zn3Cd, optimized geometry; DOS at the Fermi energy = 8.3 states/eV/cell; ΔE_f = -0.270 eV/atom; uncorrected energy = -25.416 eV per cell
1.0
3.6018 0.0000 0.0000
0.0000 4.6284 0.0000
0.0000 0.0000 11.6814
Tb Zn Cd
4 3 1
Direct
0.0000 0.0000 0.0000
0.0000 0.5000 0.2970
0.5000 0.0000 0.4846
0.5000 0.5000 0.8076
0.0000 0.5000 0.5713
0.5000 0.0000 0.2156
0.5000 0.5000 0.0789
0.0000 0.0000 0.7135


No. 8
PBE Mg2Be3, optimized geometry; DOS at the Fermi energy = 3.3 states/eV/cell; ΔE_f = 0.215 eV/atom; uncorrected energy = -26.590 eV per cell
1.0
0.0000 7.0874 2.4801
3.8992 0.0000 2.4801
3.8992 7.0874 0.0000
Mg Be
4 6
Direct
0.2140 0.7860 0.3772
0.6272 0.8728 0.4640
0.7860 0.2140 0.6228
0.8728 0.6272 0.0360
0.2121 0.2956 0.0311
0.2133 0.2133 0.7867
0.2189 0.7888 0.0379
0.2956 0.2121 0.4612
0.4633 0.4633 0.0367
0.7888 0.2189 0.9544